# CaIn2Pb

Crystalline CaIn2Pb at its relaxed geometry (PBE-GGA, the Alexandria database).

abc: 6.085 6.085 6.085
angles: 134.85 134.85 65.77
Atoms (fractional coordinates):
Ca: 0.000 0.000 0.000
In: 0.250 0.750 0.500
In: 0.750 0.250 0.500
Pb: 0.500 0.500 0.000

Values from the calculation:
- density of states at the Fermi level (states/eV/cell) = 2.2
- formation enthalpy at 0 K (meV/atom) = -299
- uncorrected energy (eV per atom) = -3.0962
- space-group type = I4/mmm, No. 139